## YSiRu (PBE)

Data for a relaxed YSiRu crystal.

VASP energy = -0.28280 Ha/atom
energy relative to the elements, uncorrected = -61.9 kJ/mol of atoms
magnetic moment = 0.000 μB per formula unit

abc: 4.100 4.100 4.057
angles: 90.00 90.00 120.00
Element x y z (fractional)
Y (0.333, 0.667, 0.667)
Si (0.667, 0.333, 0.167)
Ru (0.000, 0.000, 0.167)

---

## AlTeAsBr2 (PBE)

Data for a relaxed AlTeAsBr2 crystal.

VASP energy = -0.09491 Ha/atom
energy above the lowest structure with this stoichiometry = 0.371 eV/atom
energy relative to the elements, uncorrected = 37.9 kJ/mol of atoms
magnetic moment = 0.000 μB per formula unit

abc: 5.903 5.903 5.170
angles: 90.00 90.00 90.00
Element x y z (fractional)
Al (0.500, 0.500, 0.500)
Te (0.000, 0.000, 0.000)
Br (0.500, 0.000, 0.000)
Br (0.000, 0.500, 0.000)
As (0.000, 0.000, 0.500)

---

## KNa2MgGa (PBE)

Data for a relaxed KNa2MgGa crystal.

VASP energy = -0.05949 Ha/atom
energy relative to the elements = 0.05 eV/atom
magnetic moment = 0.000 μB per formula unit

abc: 5.877 5.877 5.239
angles: 90.00 90.00 90.00
Element x y z (fractional)
Na (0.000, 0.500, 0.000)
K (0.500, 0.500, 0.500)
Ga (0.000, 0.000, 0.000)
Na (0.500, 0.000, 0.000)
Mg (0.000, 0.000, 0.500)